Entry from the Alexandria database: a geometry-optimized Dy3Y5Er3 structure (PBE).

Lattice parameters (Å, degrees): 9.6610 9.6610 5.3573 90.00 90.00 120.00
Space group P-62m (No. 189)
Asymmetric unit:
Dy 0.0000 0.6233 0.0000
Y 0.0000 0.2468 0.0000
Y 0.3333 0.6667 0.0000
Er 0.0000 0.4394 0.5000

Values from the calculation:
**Density**: 5.50 g/cm3
**DOS at the Fermi energy**: 1.4509 states/eV per atom
**ΔH_f (0 K)**: 0.835 eV per atom
**Uncorrected energy**: -0.1692 hartree per atom